(one)
This record from Alexandria via LeMat-Bulk describes an optimized crystal structure of Nd3InRh. The functional is PBE-GGA.

Output
* space-group type: C2/m
* density of states at the Fermi level: 0.868 states/eV per atom
* magnetic moment: 0.00 μB/f.u.

POSCAR file:
```
Nd3InRh
1.0
8.086 -2.039 0.000
8.086 2.039 0.000
-6.021 0.000 8.951
Nd In Rh
6 2 2
Cartesian
-1.319 0.000 4.025
4.152 0.000 1.809
1.188 0.000 7.001
8.963 0.000 1.950
5.999 0.000 7.141
11.470 0.000 4.926
-4.393 0.000 8.300
14.544 0.000 0.651
1.816 0.000 3.770
8.335 0.000 5.180
```



(two)
This record from Alexandria via LeMat-Bulk describes an optimized crystal structure of Nd3InRh. The functional is PBE-GGA.

Output
* space-group type: P2_1/m
* density of states at the Fermi level: 0.926 states/eV per atom
* magnetic moment: 0.00 μB/f.u.

POSCAR file:
```
Nd3InRh
1.0
7.462 0.000 0.000
0.000 4.957 0.000
-3.183 0.000 7.861
Nd In Rh
6 2 2
Cartesian
-0.383 1.239 2.017
-0.714 1.239 7.373
0.664 3.718 4.693
3.615 1.239 3.168
4.994 3.718 0.487
4.663 3.718 5.844
1.742 3.718 1.504
2.537 1.239 6.357
-1.308 1.239 4.726
5.587 3.718 3.134
```



Relative energies, in eV/atom, with the most stable structure set to zero: (one) 0.021; (two) 0.000.



(one)
This record from Alexandria via LeMat-Bulk describes an optimized crystal structure of Nd6InRh2. The functional is PBE-GGA.

Output
* space-group type: C2/m
* density of states at the Fermi level: 0.754 states/eV per atom
* magnetic moment: 0.00 μB/f.u.

POSCAR file:
```
Nd6InRh2
1.0
5.344 -2.559 0.000
5.344 2.559 0.000
-2.068 0.000 9.209
Nd In Rh
6 1 2
Cartesian
-0.383 0.000 3.201
1.758 0.000 6.146
3.369 0.000 1.039
5.252 0.000 8.170
6.863 0.000 3.062
9.004 0.000 6.008
0.000 0.000 0.000
3.183 0.000 3.729
5.438 0.000 5.480
```



(two)
This record from Alexandria via LeMat-Bulk describes an optimized crystal structure of Nd6InRh2. The functional is PBE-GGA.

Output
* space-group type: Immm
* density of states at the Fermi level: 0.868 states/eV per atom
* magnetic moment: 0.00 μB/f.u.

POSCAR file:
```
Nd6InRh2
1.0
-4.831 5.007 5.372
4.831 -5.007 5.372
4.831 5.007 -5.372
Nd In Rh
12 2 4
Cartesian
4.831 2.996 -2.847
2.820 1.806 0.000
6.841 1.806 0.000
1.854 5.007 -1.838
2.976 0.000 3.534
0.000 2.011 2.525
4.831 2.996 2.847
1.854 5.007 1.838
2.976 0.000 7.211
-2.010 3.201 5.372
2.010 3.201 5.372
0.000 2.011 8.219
0.000 0.000 0.000
0.000 0.000 5.372
4.831 0.000 1.429
0.000 3.332 0.000
0.000 6.682 0.000
0.000 5.007 3.944
```



Relative energies, in eV/atom, with the most stable structure set to zero: (one) 0.083; (two) 0.000.



(one)
This record from Alexandria via LeMat-Bulk describes an optimized crystal structure of Nd3In2Ru. The functional is PBE-GGA.

Output
* space-group type: C2/m
* density of states at the Fermi level: 0.535 states/eV per atom
* magnetic moment: 0.00 μB/f.u.

POSCAR file:
```
Nd3In2Ru
1.0
4.013 -5.419 0.000
4.013 5.419 0.000
-1.306 0.000 8.083
Nd In Ru
6 4 2
Cartesian
0.798 1.973 6.233
1.158 0.000 1.353
0.798 -1.973 6.233
5.922 1.973 1.850
5.562 0.000 6.730
5.922 -1.973 1.850
-0.653 0.000 4.041
3.360 1.431 4.041
4.013 0.000 0.000
3.360 -1.431 4.041
4.013 3.046 0.000
4.013 -3.046 0.000
```



(two)
This record from Alexandria via LeMat-Bulk describes an optimized crystal structure of Nd3In2Ru. The functional is PBE-GGA.

Output
* space-group type: C2/c
* density of states at the Fermi level: 0.774 states/eV per atom
* magnetic moment: 0.00 μB/f.u.

POSCAR file:
```
Nd3In2Ru
1.0
4.966 -4.539 0.000
4.966 4.539 0.000
-2.676 0.000 7.417
Nd In Ru
6 4 2
Cartesian
2.959 4.149 5.563
3.453 0.734 0.258
2.115 -0.734 3.967
5.142 0.734 3.451
3.804 -0.734 7.159
4.297 -4.149 1.854
2.175 2.529 2.749
6.420 2.529 0.959
0.837 -2.529 6.458
5.082 -2.529 4.668
2.959 1.421 5.563
4.297 -1.421 1.854
```



Relative energies, in eV/atom, with the most stable structure set to zero: (one) 0.069; (two) 0.000.



(one)
This record from Alexandria via LeMat-Bulk describes an optimized crystal structure of Nd6In3Ru. The functional is PBE-GGA.

Output
* space-group type: P2_1/m
* density of states at the Fermi level: 0.909 states/eV per atom
* magnetic moment: 0.00 μB/f.u.

POSCAR file:
```
Nd6In3Ru
1.0
9.466 0.000 0.000
0.000 5.437 0.000
-3.503 0.000 11.171
Nd In Ru
12 6 2
Cartesian
-1.065 1.359 4.637
1.224 4.078 1.831
2.691 1.359 0.019
0.422 4.078 9.238
2.330 1.359 3.913
1.537 1.359 7.193
4.427 4.078 3.978
3.634 4.078 7.257
5.542 1.359 1.933
3.273 4.078 11.151
4.740 1.359 9.340
7.029 4.078 6.533
-2.958 4.078 9.795
-1.642 1.359 8.032
0.894 4.078 5.288
5.069 1.359 5.883
7.606 4.078 3.138
8.922 1.359 1.375
4.053 4.078 1.055
1.911 1.359 10.116
```



(two)
This record from Alexandria via LeMat-Bulk describes an optimized crystal structure of Nd6In3Ru. The functional is PBE-GGA.

Output
* space-group type: P2_1/c
* density of states at the Fermi level: 0.802 states/eV per atom
* magnetic moment: 0.00 μB/f.u.

POSCAR file:
```
Nd6In3Ru
1.0
5.427 0.000 0.000
0.000 9.302 0.000
-5.413 0.000 11.840
Nd In Ru
12 6 2
Cartesian
-0.005 1.785 0.906
-2.711 2.866 6.826
0.014 4.744 2.812
-2.693 9.209 8.732
-0.005 1.421 4.954
-2.712 3.230 10.874
2.726 6.072 0.966
0.020 7.881 6.886
2.707 0.093 3.108
0.001 4.558 9.028
2.726 6.436 5.014
0.019 7.517 10.934
-2.712 6.093 8.684
-0.005 7.860 2.765
2.714 0.000 0.000
0.007 4.651 5.920
0.020 1.442 9.075
2.726 3.209 3.155
-2.706 0.000 5.920
0.000 4.651 0.000
```



Relative energies, in eV/atom, with the most stable structure set to zero: (one) 0.000; (two) 0.026.



(one)
This record from Alexandria via LeMat-Bulk describes an optimized crystal structure of Nd5In2Ru. The functional is PBE-GGA.

Output
* space-group type: Pbam
* density of states at the Fermi level: 0.943 states/eV per atom
* magnetic moment: 0.00 μB/f.u.

POSCAR file:
```
Nd5In2Ru
1.0
8.009 0.000 0.000
0.000 12.466 0.000
0.000 0.000 4.827
Nd In Ru
10 4 2
Cartesian
0.000 0.000 0.000
1.100 3.712 0.000
1.474 7.108 2.414
2.530 0.876 2.414
2.905 9.945 0.000
4.005 6.233 0.000
5.105 2.521 0.000
5.479 11.590 2.414
6.535 5.357 2.414
6.909 8.754 0.000
0.608 10.369 2.414
3.397 4.136 2.414
4.612 8.330 2.414
7.402 2.097 2.414
0.000 6.233 0.000
4.005 0.000 0.000
```



(two)
This record from Alexandria via LeMat-Bulk describes an optimized crystal structure of Nd5In2Ru. The functional is PBE-GGA.

Output
* space-group type: I4mm
* density of states at the Fermi level: 0.880 states/eV per atom
* magnetic moment: 0.00 μB/f.u.

POSCAR file:
```
Nd5In2Ru
1.0
-3.606 3.606 4.556
3.606 -3.606 4.556
3.606 3.606 -4.556
Nd In Ru
5 2 1
Cartesian
0.000 0.000 0.000
1.825 1.825 -2.066
1.781 -1.781 2.490
-1.781 1.781 2.490
1.781 1.781 2.490
3.606 0.000 0.265
0.000 3.606 0.265
0.000 0.000 5.928
```



Relative energies, in eV/atom, with the most stable structure set to zero: (one) 0.000; (two) 0.162.



(one)
This record from Alexandria via LeMat-Bulk describes an optimized crystal structure of Nd6InRu2. The functional is PBE-GGA.

Output
* space-group type: Immm
* density of states at the Fermi level: 0.838 states/eV per atom
* magnetic moment: 0.00 μB/f.u.

POSCAR file:
```
Nd6InRu2
1.0
-4.839 4.954 5.363
4.839 -4.954 5.363
4.839 4.954 -5.363
Nd In Ru
12 2 4
Cartesian
4.839 2.937 -2.814
2.776 1.814 0.000
6.902 1.814 0.000
1.816 4.954 -1.846
3.023 0.000 3.517
0.000 2.016 2.549
4.839 2.937 2.814
1.816 4.954 1.846
3.023 0.000 7.209
-2.063 3.140 5.363
2.063 3.140 5.363
0.000 2.016 8.177
0.000 0.000 0.000
0.000 0.000 5.363
4.839 0.000 1.342
0.000 3.192 0.000
0.000 6.715 0.000
0.000 4.954 4.021
```



(two)
This record from Alexandria via LeMat-Bulk describes an optimized crystal structure of Nd6InRu2. The functional is PBE-GGA.

Output
* space-group type: C2/m
* density of states at the Fermi level: 0.865 states/eV per atom
* magnetic moment: 0.00 μB/f.u.

POSCAR file:
```
Nd6InRu2
1.0
5.250 -2.602 0.000
5.250 2.602 0.000
-2.061 0.000 9.204
Nd In Ru
6 1 2
Cartesian
-0.367 0.000 3.205
1.740 0.000 6.108
3.267 0.000 1.091
5.172 0.000 8.113
6.699 0.000 3.096
8.806 0.000 5.999
0.000 0.000 0.000
3.201 0.000 3.726
5.238 0.000 5.478
```



Relative energies, in eV/atom, with the most stable structure set to zero: (one) 0.000; (two) 0.068.



(one)
This record from Alexandria via LeMat-Bulk describes an optimized crystal structure of Nd4In2Ru. The functional is PBE-GGA.

Output
* space-group type: C2/m
* density of states at the Fermi level: 0.827 states/eV per atom
* magnetic moment: 0.00 μB/f.u.

POSCAR file:
```
Nd4In2Ru
1.0
5.784 -2.462 0.000
5.784 2.462 0.000
-5.527 0.000 7.171
Nd In Ru
4 2 1
Cartesian
-1.144 0.000 2.577
-1.400 0.000 6.855
7.441 0.000 0.316
7.184 0.000 4.594
2.122 0.000 2.334
3.918 0.000 4.836
0.000 0.000 0.000
```



(two)
This record from Alexandria via LeMat-Bulk describes an optimized crystal structure of Nd4In2Ru. The functional is PBE-GGA.

Output
* space-group type: P2/m
* density of states at the Fermi level: 0.968 states/eV per atom
* magnetic moment: 0.00 μB/f.u.

POSCAR file:
```
Nd4In2Ru
1.0
6.861 0.000 0.000
0.000 3.571 0.000
-3.077 0.000 8.765
Nd In Ru
4 2 1
Cartesian
-0.012 0.000 2.138
0.293 1.786 5.684
3.492 1.786 3.082
3.797 0.000 6.627
-1.140 1.786 8.757
4.925 1.786 0.009
-1.538 0.000 4.383
```



Relative energies, in eV/atom, with the most stable structure set to zero: (one) 0.000; (two) 0.139.



(one)
This record from Alexandria via LeMat-Bulk describes an optimized crystal structure of NdInSb2. The functional is PBE-GGA.

Output
* space-group type: R-3m
* density of states at the Fermi level: 0.777 states/eV per atom
* magnetic moment: 0.00 μB/f.u.

POSCAR file:
```
NdInSb2
1.0
1.899 1.096 10.395
-1.899 1.096 10.395
0.000 -2.192 10.395
Nd In Sb
1 1 2
Cartesian
0.000 0.000 0.000
0.000 0.000 15.592
0.000 0.000 3.142
0.000 0.000 28.042
```



(two)
This record from Alexandria via LeMat-Bulk describes an optimized crystal structure of NdInSb2. The functional is PBE-GGA.

Output
* space-group type: R3m
* density of states at the Fermi level: 0.680 states/eV per atom
* magnetic moment: 0.00 μB/f.u.

POSCAR file:
```
NdInSb2
1.0
2.296 1.326 7.060
-2.296 1.326 7.060
0.000 -2.651 7.060
Nd In Sb
1 1 2
Cartesian
0.000 0.000 0.000
0.000 0.000 17.590
0.000 0.000 8.883
0.000 0.000 12.413
```



Relative energies, in eV/atom, with the most stable structure set to zero: (one) 0.505; (two) 0.000.



(one)
This record from Alexandria via LeMat-Bulk describes an optimized crystal structure of NdInSb2. The functional is PBE-GGA.

Output
* space-group type: C2/m
* density of states at the Fermi level: 0.477 states/eV per atom
* magnetic moment: 0.00 μB/f.u.

POSCAR file:
```
NdInSb2
1.0
3.129 -3.122 0.000
3.129 3.122 0.000
-0.028 0.000 12.109
Nd In Sb
2 2 4
Cartesian
0.001 0.000 2.485
6.229 0.000 9.624
3.115 1.620 6.054
3.115 -1.620 6.054
1.565 1.561 0.000
3.101 0.000 8.622
1.565 -1.561 0.000
3.129 0.000 3.486
```



(two)
This record from Alexandria via LeMat-Bulk describes an optimized crystal structure of NdInSb2. The functional is PBE-GGA.

Output
* space-group type: P4/nmm
* density of states at the Fermi level: 0.605 states/eV per atom
* magnetic moment: 0.00 μB/f.u.

POSCAR file:
```
NdInSb2
1.0
4.459 0.000 0.000
0.000 4.459 0.000
0.000 0.000 11.640
Nd In Sb
2 2 4
Cartesian
1.115 1.115 2.493
3.345 3.345 9.147
1.115 3.345 5.820
3.345 1.115 5.820
1.115 1.115 8.454
1.115 3.345 0.000
3.345 1.115 0.000
3.345 3.345 3.185
```



(three)
This record from Alexandria via LeMat-Bulk describes an optimized crystal structure of NdInSb2. The functional is PBE-GGA.

Output
* space-group type: P4/mmm
* density of states at the Fermi level: 0.489 states/eV per atom
* magnetic moment: 0.00 μB/f.u.

POSCAR file:
```
NdInSb2
1.0
5.010 0.000 0.000
0.000 5.010 0.000
0.000 0.000 4.399
Nd In Sb
1 1 2
Cartesian
0.000 0.000 0.000
2.505 2.505 0.000
0.000 2.505 2.199
2.505 0.000 2.199
```



Relative energies, in eV/atom, with the most stable structure set to zero: (one) 0.000; (two) 0.014; (three) 0.031.



(one)
This record from Alexandria via LeMat-Bulk describes an optimized crystal structure of NdIn2Sb. The functional is PBE-GGA.

Output
* space-group type: P4/mmm
* density of states at the Fermi level: 0.596 states/eV per atom
* magnetic moment: 0.00 μB/f.u.

POSCAR file:
```
NdIn2Sb
1.0
4.728 0.000 0.000
0.000 4.728 0.000
0.000 0.000 4.850
Nd In Sb
1 2 1
Cartesian
0.000 0.000 0.000
0.000 2.364 2.425
2.364 0.000 2.425
2.364 2.364 0.000
```



(two)
This record from Alexandria via LeMat-Bulk describes an optimized crystal structure of NdIn2Sb. The functional is PBE-GGA.

Output
* space-group type: R-3m
* density of states at the Fermi level: 0.846 states/eV per atom
* magnetic moment: 0.00 μB/f.u.

POSCAR file:
```
NdIn2Sb
1.0
1.786 1.031 11.320
-1.786 1.031 11.320
0.000 -2.062 11.320
Nd In Sb
1 2 1
Cartesian
0.000 0.000 0.000
0.000 0.000 3.217
0.000 0.000 30.742
0.000 0.000 16.979
```



Relative energies, in eV/atom, with the most stable structure set to zero: (one) 0.000; (two) 0.636.



(one)
This record from Alexandria via LeMat-Bulk describes an optimized crystal structure of NdSmScIn. The functional is PBE-GGA.

Output
* space-group type: F-43m
* density of states at the Fermi level: 1.343 states/eV per atom
* magnetic moment: 1.18 μB/f.u.

POSCAR file:
```
NdSmScIn
1.0
0.000 3.856 3.856
3.856 0.000 3.856
3.856 3.856 0.000
Nd Sm Sc In
1 1 1 1
Cartesian
0.000 0.000 0.000
3.856 3.856 3.856
1.928 1.928 1.928
5.784 5.784 5.784
```



(two)
This record from Alexandria via LeMat-Bulk describes an optimized crystal structure of NdSmScIn. The functional is PBE-GGA.

Output
* space-group type: P4/nmm
* density of states at the Fermi level: 1.239 states/eV per atom
* magnetic moment: 0.84 μB/f.u.

POSCAR file:
```
NdSmScIn
1.0
4.794 0.000 0.000
0.000 4.794 0.000
0.000 0.000 9.721
Nd Sm Sc In
2 2 2 2
Cartesian
1.199 3.596 0.000
3.596 1.199 0.000
1.199 1.199 2.518
3.596 3.596 7.202
1.199 3.596 4.860
3.596 1.199 4.860
1.199 1.199 7.022
3.596 3.596 2.699
```



Relative energies, in eV/atom, with the most stable structure set to zero: (one) 0.056; (two) 0.000.